# 1
DFT (PBE) results for a relaxed structure of Zn3Ga3Pd2Rh.

The formation energy comes out at -0.413 eV/atom. The final energy is -34.36 eV per formula unit.

It has space group P-62m (No. 189), with a = 7.2488 Å, b = 7.2488 Å, c = 3.0124 Å, α = 90.00°, β = 90.00° and γ = 120.00°. The distinct sites, in fractional coordinates, are Zn at (0.0000, 0.6194, 0.0000), Ga at (0.0000, 0.2861, 0.5000), Pd at (0.3333, 0.6667, 0.5000) and Rh at (0.0000, 0.0000, 0.0000).

# 2
DFT (PBE) results for a relaxed structure of ZnGaPdRh.

The formation energy comes out at -0.602 eV/atom. The final energy is -19.25 eV per formula unit.

It has space group P4mm (No. 99), with a = 3.021 Å, b = 3.021 Å, c = 6.236 Å, α = 90.00°, β = 90.00° and γ = 90.00°. The distinct sites, in fractional coordinates, are Zn at (0.000, 0.000, 0.000), Ga at (0.000, 0.000, 0.484), Pd at (0.500, 0.500, 0.740) and Rh at (0.500, 0.500, 0.252).

# 3
DFT (PBE) results for a relaxed structure of ZrGaPdRh.

The formation energy comes out at -0.783 eV/atom. The final energy is -27.25 eV per formula unit.

It has space group I-4m2 (No. 119), with a = 4.133 Å, b = 4.133 Å, c = 7.616 Å, α = 90.00°, β = 90.00° and γ = 90.00°. The distinct sites, in fractional coordinates, are Zr at (0.000, 0.000, 0.000), Ga at (0.000, 0.000, 0.500), Pd at (0.000, 0.500, 0.250) and Rh at (0.000, 0.500, 0.750).

# 4
DFT (PBE) results for a relaxed structure of ZrGaPdRh.

The formation energy comes out at -0.747 eV/atom. The final energy is -27.11 eV per formula unit.

It has space group F-43m (No. 216), with a = 6.409 Å, b = 6.409 Å, c = 6.409 Å, α = 90.00°, β = 90.00° and γ = 90.00°. The distinct sites, in fractional coordinates, are Zr at (0.000, 0.000, 0.000), Ga at (0.000, 0.000, 0.500), Pd at (0.250, 0.250, 0.750) and Rh at (0.250, 0.250, 0.250).